Record 1
! VSi2Ni GGA-PBE relaxed; values from VASP
&SYSTEM
  ibrav = 0, nat = 4, ntyp = 3
/
ATOMIC_SPECIES
V 50.94 V.upf
Si 28.09 Si.upf
Ni 58.69 Ni.upf
ATOMIC_POSITIONS angstrom
V 0.000 0.000 0.000
Si 0.000 1.913 1.646
Si 1.913 0.000 1.646
Ni 1.913 1.913 0.000
CELL_PARAMETERS angstrom
3.826 0.000 0.000
0.000 3.826 0.000
0.000 0.000 3.292
! Symmetry: No. 123
! Spin magnetization (Bohr magnetons per cell): 0.6
! Formation energy from raw total energies (eV/atom): -0.357



Record 2
! K2NdHfTe4 GGA-PBE relaxed; values from VASP
&SYSTEM
  ibrav = 0, nat = 8, ntyp = 4
/
ATOMIC_SPECIES
K 39.10 K.upf
Nd 144.24 Nd.upf
Hf 178.49 Hf.upf
Te 127.60 Te.upf
ATOMIC_POSITIONS angstrom
K 0.000 0.000 0.000
K 3.822 2.179 0.000
Nd -1.240 2.179 4.163
Hf 2.582 0.000 4.163
Te 0.208 0.000 5.934
Te 1.446 2.179 2.478
Te 3.718 2.179 5.849
Te 4.956 0.000 2.392
CELL_PARAMETERS angstrom
7.643 0.000 0.000
0.000 4.358 0.000
-2.480 0.000 8.327
! Symmetry: No. 10
! Spin magnetization (Bohr magnetons per cell): 0.0
! Formation energy from raw total energies (eV/atom): -1.118



Record 3
! Y4SiCl GGA-PBE relaxed; values from VASP
&SYSTEM
  ibrav = 0, nat = 6, ntyp = 3
/
ATOMIC_SPECIES
Y 88.91 Y.upf
Si 28.09 Si.upf
Cl 35.45 Cl.upf
ATOMIC_POSITIONS angstrom
Y 3.325 3.325 3.325
Y 5.499 5.499 3.325
Y 5.499 3.325 5.499
Y 3.325 5.499 5.499
Si 6.618 6.618 6.618
Cl 0.000 0.000 0.000
CELL_PARAMETERS angstrom
0.000 4.412 4.412
4.412 0.000 4.412
4.412 4.412 0.000
! Symmetry: No. 216
! Spin magnetization (Bohr magnetons per cell): 0.0
! Formation energy from raw total energies (eV/atom): 0.326